1.
Compound: LiH4Rh2
Source: the Alexandria database
Functional: PBE
Structure: optimized geometry

Output
Energy relative to the lowest polymorph listed for this composition ... 0.065 eV per atom

POSCAR file:
```
LiH4Rh2
1.0
-2.816 1.272 1.395
-1.145 -1.308 -5.246
2.694 -2.848 3.907
H Li Rh
4 1 2
Direct
0.502 0.627 0.378
0.501 0.097 0.904
0.499 0.903 0.096
0.498 0.373 0.622
0.000 0.000 0.000
0.999 0.340 0.657
0.001 0.660 0.343
```

2.
Compound: Sc4PaIr5
Source: the Alexandria database
Functional: PBE
Structure: optimized geometry

Output
Formation enthalpy at 0 K ... -943 meV per atom

POSCAR file:
```
Sc4PaIr5
1.0
-3.005 1.027 0.270
-1.039 -2.672 -1.392
-1.201 -7.565 15.416
Ir Sc Pa
5 4 1
Direct
0.500 0.500 0.309
0.500 0.500 0.116
0.500 0.500 0.691
0.500 0.500 0.500
0.500 0.500 0.884
0.000 0.000 0.596
0.000 0.000 0.212
0.000 0.000 0.404
0.000 0.000 0.788
0.000 0.000 0.000
```

Number 1: N(E_F) 3.0 states/eV/cell. Number 2: N(E_F) 5.1 states/eV/cell.